Record 1
Computed, not measured: crystalline BaHgN3 at its relaxed geometry at the PBE level of DFT.

SG = Pm-3m
DFT total energy = -4.00 eV/atom
Formation energy (no corrections) = 1.44 eV per atom

```
BaHgN3
1.0
-2.406 -2.605 2.610
0.909 -3.439 -2.594
3.573 -0.879 2.417
Hg N Ba
1 3 1
Direct
0.000 0.000 0.000
0.500 0.000 0.000
0.000 0.000 0.500
0.000 0.500 0.000
0.500 0.500 0.500
```

---

Record 2
Computed, not measured: crystalline Na2PrHoSe4 at its relaxed geometry at the PBE level of DFT.

SG = P2/m
DFT total energy = -4.93 eV/atom
Formation energy (no corrections) = -1.68 eV per atom

```
Na2PrHoSe4
1.0
-0.865 -4.079 0.665
-0.185 -1.138 -7.226
6.931 -1.069 2.461
Se Na Ho Pr
4 2 1 1
Direct
0.000 0.266 0.770
0.500 0.745 0.765
0.000 0.734 0.230
0.500 0.255 0.235
0.500 0.000 0.500
0.000 0.500 0.500
0.500 0.500 0.000
0.000 0.000 0.000
```

---

Record 3
Computed, not measured: crystalline Er3Hf2ZrN6 at its relaxed geometry at the PBE level of DFT.

SG = C2/m
DFT total energy = -9.48 eV/atom
Formation energy (no corrections) = -1.81 eV per atom

```
Er3Hf2ZrN6
1.0
5.719 0.003 -0.001
-2.856 4.955 -0.001
-0.956 -1.655 5.446
Zr Hf N Er
1 2 6 3
Direct
0.000 0.000 0.000
0.333 0.667 0.000
0.667 0.333 0.000
0.923 0.583 0.768
0.417 0.077 0.232
0.738 0.738 0.232
0.262 0.262 0.768
0.077 0.417 0.232
0.583 0.923 0.768
0.834 0.166 0.500
0.500 0.500 0.500
0.166 0.834 0.500
```

---

Record 4
Computed, not measured: crystalline Ho4MgAu at its relaxed geometry at the PBE level of DFT.

SG = I4_1md
DFT total energy = -3.68 eV/atom
Calculated formation energy = 0.19 eV per atom

```
Ho4MgAu
1.0
-6.842 2.143 -3.817
-2.190 -5.903 5.131
3.347 6.283 3.910
Ho Mg Au
8 2 2
Direct
0.338 0.519 0.819
0.269 0.588 0.319
0.174 0.981 0.193
0.701 0.519 0.181
0.269 0.951 0.681
0.731 0.424 0.693
0.788 0.981 0.807
0.731 0.038 0.307
0.246 0.246 0.000
0.996 0.496 0.500
0.503 0.003 0.500
0.753 0.753 0.000
```

---

Record 5
Computed, not measured: crystalline AlFe2CoH at its relaxed geometry at the PBE level of DFT.

SG = P4/mmm
Energy relative to the lowest polymorph listed for this composition = 0 meV per atom
DFT total energy = -6.42 eV/atom

```
AlFe2CoH
1.0
3.610 0.000 0.000
0.000 3.610 0.000
0.000 0.000 3.756
Fe Co H Al
2 1 1 1
Direct
0.000 0.500 0.000
0.500 0.000 0.000
0.000 0.000 0.500
0.000 0.000 0.000
0.500 0.500 0.500
```

---

Record 6
Computed, not measured: crystalline ThMgAlHg at its relaxed geometry at the PBE level of DFT.

SG = F-43m
DFT total energy = -3.43 eV/atom
Calculated formation energy = -0.17 eV per atom

```
ThMgAlHg
1.0
5.148 0.000 0.000
2.574 4.459 0.000
2.574 1.486 4.204
Mg Th Hg Al
1 1 1 1
Direct
0.000 0.000 0.000
0.500 0.500 0.500
0.250 0.250 0.250
0.750 0.750 0.750
```

---

Record 7
Computed, not measured: crystalline Ba2LiW at its relaxed geometry at the PBE level of DFT.

SG = C2/m
Energy relative to the lowest polymorph listed for this composition = 177 meV per atom
DFT total energy = -3.51 eV/atom
Calculated formation energy = 1.16 eV per atom

```
Ba2LiW
1.0
-4.440 2.805 -0.901
-4.427 0.251 -2.956
-4.290 -4.065 5.021
Ba Li W
2 1 1
Direct
0.509 0.509 0.478
0.991 0.991 0.022
0.750 0.750 0.750
0.250 0.250 0.250
```

---

Record 8
Computed, not measured: crystalline Te2MoAs at its relaxed geometry at the PBE level of DFT.

SG = P4/mmm
DFT total energy = -5.14 eV/atom
Formation energy (no corrections) = 0.30 eV per atom

```
Te2MoAs
1.0
3.329 0.000 0.000
0.000 3.329 0.000
0.000 0.000 7.859
Te Mo As
2 1 1
Direct
0.000 0.000 0.540
0.000 0.000 0.960
0.500 0.500 0.750
0.500 0.500 0.250
```